VAg2Cl2F4 | GGA+U | relaxed Values from VASP.

VASP energy = -4.2547 eV/atom
Total moment = 0.97 Bohr magnetons per cell

Structure (Quantum ESPRESSO input):
```
&SYSTEM
  ibrav = 0, nat = 9, ntyp = 4
/
ATOMIC_SPECIES
V 50.94 V.upf
F 19.00 F.upf
Ag 107.87 Ag.upf
Cl 35.45 Cl.upf
CELL_PARAMETERS angstrom
4.721 -0.739 -0.503
0.098 6.305 0.946
0.098 3.195 5.517
ATOMIC_POSITIONS crystal
V 0.500 0.000 0.000
F 0.247 0.186 0.700
F 0.247 0.700 0.186
F 0.753 0.300 0.814
F 0.753 0.814 0.300
Ag 0.168 0.665 0.665
Ag 0.832 0.335 0.335
Cl 0.674 0.814 0.814
Cl 0.326 0.186 0.186
```